Entry 1:
Density functional theory data (GGA-PBE) for an optimized crystal structure of ZrNbAlC.

Results
**Energy above the most stable polymorph in this dataset**: 22 meV per atom
**Space group**: P-3m1 (164)
**Crystal system**: trigonal

Lattice parameters (Å, degrees): 3.2299 3.2299 14.2189 90.00 90.00 120.00
Positions (direct):
C 0.0000 0.0000 0.0000
C 0.0000 0.0000 0.5000
Zr 0.6667 0.3333 0.9083
Zr 0.3333 0.6667 0.0917
Nb 0.6667 0.3333 0.5844
Nb 0.3333 0.6667 0.4156
Al 0.6667 0.3333 0.2593
Al 0.3333 0.6667 0.7407

***

Entry 2:
Density functional theory data (GGA-PBE) for an optimized crystal structure of HoBi2BrO4.

Results
**Space group**: P4mm (99)
**E**: -6.2621 eV per atom
**Crystal system**: tetragonal

Lattice parameters (Å, degrees): 3.8693 3.8693 9.0469 90.00 90.00 90.00
Positions (direct):
O 0.0000 0.5000 0.1509
O 0.5000 0.0000 0.1509
O 0.0000 0.5000 0.8493
O 0.5000 0.0000 0.8493
Bi 0.5000 0.5000 0.7247
Bi 0.5000 0.5000 0.2748
Ho 0.0000 0.0000 0.9996
Br 0.0000 0.0000 0.5006

***

Entry 3:
Density functional theory data (GGA-PBE) for an optimized crystal structure of Zr4Ni3Mo2N3.

Results
**Space group**: C2/c (15)
**E**: -8.5865 eV per atom
**Crystal system**: monoclinic

Lattice parameters (Å, degrees): 5.4498 5.4498 13.6672 101.90 101.90 58.53
Positions (direct):
Mo 0.4011 0.5317 0.6300
Mo 0.5317 0.4011 0.1300
Mo 0.5989 0.4683 0.3700
Mo 0.4683 0.5989 0.8700
Zr 0.2029 0.0232 0.0927
Zr 0.1388 0.3035 0.9060
Zr 0.0232 0.2029 0.5927
Zr 0.6965 0.8612 0.5940
Zr 0.7971 0.9768 0.9073
Zr 0.8612 0.6965 0.0940
Zr 0.3035 0.1388 0.4060
Zr 0.9768 0.7971 0.4073
N 0.3455 0.8134 0.4996
N 0.5000 0.0000 0.0000
N 0.1866 0.6545 0.0004
N 0.0000 0.5000 0.5000
N 0.6545 0.1866 0.5004
N 0.8134 0.3455 0.9996
Ni 0.8698 0.1302 0.7500
Ni 0.8421 0.6054 0.7508
Ni 0.6054 0.8421 0.2508
Ni 0.1579 0.3946 0.2492
Ni 0.3946 0.1579 0.7492
Ni 0.1302 0.8698 0.2500

***

Entry 4:
Density functional theory data (GGA-PBE) for an optimized crystal structure of CsPr2Cu3Se5.

Results
**Space group**: Cmcm (63)
**E**: -4.6553 eV per atom
**Crystal system**: orthorhombic

Lattice parameters (Å, degrees): 7.7238 7.7238 18.0473 90.00 90.00 148.16
Positions (direct):
Se 0.7356 0.2644 0.7500
Se 0.0555 0.9445 0.8902
Se 0.3377 0.6623 0.9294
Se 0.6623 0.3377 0.4294
Se 0.0555 0.9445 0.6098
Se 0.6623 0.3377 0.0706
Se 0.3377 0.6623 0.5706
Se 0.9445 0.0555 0.1098
Se 0.2644 0.7356 0.2500
Se 0.9445 0.0555 0.3902
Cu 0.0849 0.9151 0.4716
Cu 0.8371 0.1629 0.2500
Cu 0.1629 0.8371 0.7500
Cu 0.0849 0.9151 0.0284
Cu 0.9151 0.0849 0.5284
Cu 0.9151 0.0849 0.9716
Cs 0.4397 0.5603 0.7500
Cs 0.5603 0.4397 0.2500
Pr 0.3083 0.6917 0.0903
Pr 0.3083 0.6917 0.4097
Pr 0.6917 0.3083 0.5903
Pr 0.6917 0.3083 0.9097

***

Entry 5:
Density functional theory data (GGA-PBE) for an optimized crystal structure of PaSnB.

Results
**Energy above the most stable polymorph in this dataset**: 705 meV per atom
**Space group**: F-43m (216)
**Crystal system**: cubic

Lattice parameters (Å, degrees): 4.7039 4.7039 4.7039 60.00 60.00 60.00
Positions (direct):
Pa 0.5000 0.5000 0.5000
Sn 0.2500 0.2500 0.2500
B 0.7500 0.7500 0.7500

***

Entry 6:
Density functional theory data (GGA-PBE) for an optimized crystal structure of ScBiMo2.

Results
**Space group**: F-43m (216)
**E**: -7.7140 eV per atom
**Crystal system**: cubic

Lattice parameters (Å, degrees): 4.7377 4.7377 4.7377 60.00 60.00 60.00
Site moments in Bohr magnetons follow the coordinates.
Positions (direct):
Sc 0.2500 0.2500 0.2500  0.05
Mo 0.7500 0.7500 0.7500  0.03
Mo 0.0000 0.0000 0.0000  0.17
Bi 0.5000 0.5000 0.5000  0.01